DFT (PBE-GGA) results for crystalline NbVSn at its relaxed geometry.

Structure (CIF):
```
data_NbVSn
_chemical_formula_sum 'Nb4 V4 Sn4'
_symmetry_space_group_name_H-M 'P n m a'
_symmetry_Int_Tables_number 62
_symmetry_space_group_name_Hall '-P 2ac 2n'
_cell_length_a 5.698
_cell_length_b 4.589
_cell_length_c 8.121
_cell_angle_alpha 90.00
_cell_angle_beta 90.00
_cell_angle_gamma 90.00
loop_
_atom_site_label
_atom_site_fract_x
_atom_site_fract_y
_atom_site_fract_z
Nb1 0.015 0.250 0.233
V1 0.182 0.250 0.918
Sn1 0.198 0.250 0.582
```

Calculated values
* electronic total energy: -7.794 eV per atom
* spin magnetization: 0.003 μB/cell
* formation energy: -0.0638 eV/atom
* N(E_F): 9.00 states/eV/cell